[1]
LiHoZnRu, relaxed, DFT PBE-GGA; formation energy = -0.16 eV/atom
1.0
-3.599 0.498 -2.820
-1.735 -3.659 -2.182
-4.116 -1.660 1.209
Ru Li Ho Zn
1 1 1 1
direct
0.750 0.750 0.750
0.250 0.250 0.250
0.500 0.500 0.500
0.000 0.000 0.000

[2]
LiHoZrRu, relaxed, DFT PBE-GGA; formation energy = -0.26 eV/atom
1.0
4.771 0.000 0.000
2.386 4.132 0.000
2.386 1.377 3.896
Zr Li Ru Ho
1 1 1 1
direct
0.500 0.500 0.500
0.750 0.750 0.750
0.250 0.250 0.250
0.000 0.000 0.000

[3]
Li5HoS4, relaxed, DFT PBE-GGA; formation energy (no corrections) = -1508 meV/atom
1.0
-3.026 -1.111 2.191
-4.153 0.002 -5.734
5.141 -5.892 0.645
S Li Ho
4 5 1
direct
0.000 0.736 0.000
0.708 0.208 0.416
0.292 0.792 0.584
0.000 0.264 0.000
0.822 0.034 0.644
0.500 0.500 0.000
0.178 0.391 0.356
0.822 0.609 0.644
0.178 0.966 0.356
0.500 0.000 0.000

[4]
LiHo2S, relaxed, DFT PBE-GGA; formation energy (no corrections) = -831 meV/atom; polymorph energy (0 for the lowest one) = 0.0 kJ/mol of atoms
1.0
3.703 0.002 0.000
1.853 3.206 0.000
1.852 1.069 8.645
Ho Li S
2 1 1
direct
0.063 0.063 0.812
0.271 0.271 0.188
0.500 0.500 0.501
0.667 0.667 0.999

[5]
LiHo6S8, relaxed, DFT PBE-GGA; formation energy (no corrections) = -1997 meV/atom
1.0
-6.949 -2.622 -2.117
-0.866 -7.380 -2.105
-3.838 -4.896 4.576
Ho S Li
6 8 1
direct
0.000 0.500 0.500
0.500 0.000 0.500
0.000 0.000 0.500
0.500 0.500 0.000
0.500 0.000 0.000
0.000 0.500 0.000
0.754 0.754 0.246
0.754 0.246 0.754
0.246 0.246 0.754
0.246 0.754 0.754
0.754 0.246 0.246
0.246 0.754 0.246
0.750 0.750 0.750
0.250 0.250 0.250
0.000 0.000 0.000

[6]
LiHo5S6, relaxed, DFT PBE-GGA; formation energy (no corrections) = -1952 meV/atom
1.0
6.624 0.158 1.004
1.625 5.605 3.268
0.112 0.060 6.686
Li S Ho
1 6 5
direct
0.000 0.000 0.000
0.754 0.082 0.327
0.754 0.408 0.673
0.243 0.243 0.000
0.757 0.757 0.000
0.246 0.918 0.673
0.246 0.592 0.327
0.500 0.834 0.331
0.500 0.500 0.000
0.500 0.166 0.669
0.000 0.665 0.669
0.000 0.335 0.331

[7]
Li3HoS3, relaxed, DFT PBE-GGA; formation energy (no corrections) = -1615 meV/atom
1.0
6.225 0.000 3.169
2.306 5.782 3.169
0.060 0.041 7.580
S Li Ho
6 6 2
direct
0.550 0.921 0.249
0.721 0.450 0.751
0.279 0.550 0.249
0.450 0.079 0.751
0.079 0.721 0.751
0.921 0.279 0.249
0.131 0.415 0.638
0.585 0.183 0.362
0.817 0.131 0.638
0.415 0.817 0.638
0.183 0.869 0.362
0.869 0.585 0.362
0.334 0.334 0.999
0.666 0.666 0.001

[8]
LiHo2S, relaxed, DFT PBE-GGA; formation energy (no corrections) = -707 meV/atom; polymorph energy (0 for the lowest one) = 12.0 kJ/mol of atoms
1.0
3.642 0.000 0.000
1.821 3.154 0.000
1.821 1.051 9.727
S Ho Li
1 2 1
direct
0.500 0.500 0.500
0.890 0.890 0.331
0.110 0.110 0.669
0.000 0.000 0.000

[9]
LiHo2S3, relaxed, DFT PBE-GGA; formation energy (no corrections) = -1906 meV/atom; polymorph energy (0 for the lowest one) = 0.0 kJ/mol of atoms
1.0
-0.841 2.304 2.963
-4.840 -2.464 0.543
5.196 -3.744 1.889
Ho S Li
2 3 1
direct
0.165 0.165 0.830
0.835 0.835 0.170
0.837 0.337 0.174
0.500 0.000 0.500
0.163 0.663 0.826
0.500 0.500 0.500

[10]
LiHo2S3, relaxed, DFT PBE-GGA; formation energy (no corrections) = -1878 meV/atom; polymorph energy (0 for the lowest one) = 2.7 kJ/mol of atoms
1.0
-0.881 0.597 -3.711
-2.157 -3.202 -0.004
-5.018 5.703 4.117
S Ho Li
3 2 1
direct
0.267 0.268 0.540
0.601 0.603 0.208
0.934 0.936 0.874
0.094 0.095 0.193
0.775 0.776 0.554
0.434 0.436 0.874

[11]
LiHo3S6, relaxed, DFT PBE-GGA; formation energy (no corrections) = -139 meV/atom
1.0
3.573 -10.871 0.000
3.573 10.871 0.000
0.000 0.000 9.569
Ho S Li
3 6 1
direct
0.000 0.500 0.000
0.000 0.000 0.500
0.500 0.000 0.000
0.715 0.989 0.000
0.000 0.000 0.754
0.989 0.715 0.000
0.285 0.011 0.000
0.000 0.000 0.246
0.011 0.285 0.000
0.000 0.000 0.000

[12]
Li3Ho2SbS6, relaxed, DFT PBE-GGA; formation energy (no corrections) = -1455 meV/atom
1.0
6.767 -0.003 0.002
-3.385 5.860 0.002
-1.127 -1.952 6.175
Ho S Sb Li
2 6 1 3
direct
0.333 0.667 0.000
0.667 0.333 0.000
0.581 0.916 0.749
0.748 0.748 0.251
0.252 0.252 0.749
0.419 0.084 0.251
0.084 0.419 0.251
0.916 0.581 0.749
0.000 0.000 0.000
0.159 0.841 0.500
0.841 0.159 0.500
0.500 0.500 0.500

Results for ρ: 8.16, 7.87, 2.93, 5.97, 6.39, 6.95, 3.45, 5.48, 5.92, 5.88, 1.55, 4.51 (in g cm⁻³, following the order of the records).